A relaxed NaAsWO6 crystal, computed with GGA+U.

Cell: 5.1155 5.1155 10.4709 Å, 90.00 90.00 120.00°
Fractional positions:
Na (0.0000, 0.0000, 0.0000)
Na (0.0000, 0.0000, 0.5000)
As (0.3333, 0.6667, 0.2500)
As (0.6667, 0.3333, 0.7500)
W (0.3333, 0.6667, 0.7500)
W (0.6667, 0.3333, 0.2500)
O (0.0126, 0.3881, 0.1487)
O (0.0126, 0.6245, 0.3513)
O (0.3755, 0.3881, 0.3513)
O (0.3755, 0.9874, 0.1487)
O (0.3881, 0.0126, 0.6487)
O (0.3881, 0.3755, 0.8513)
O (0.6119, 0.6245, 0.1487)
O (0.6119, 0.9874, 0.3513)
O (0.6245, 0.0126, 0.8513)
O (0.6245, 0.6119, 0.6487)
O (0.9874, 0.3755, 0.6487)
O (0.9874, 0.6119, 0.8513)

Summary:
- space-group type = No. 163
- E_tot (eV per atom) = -6.428
- D(E_F) (states/eV/f.u.) = 0.00